# 1
A relaxed structure of Rb4La3ZrTe8. Source: the Alexandria database, functional GGA-PBE.

a b c (Å): 9.2481 9.2481 25.7036
angles (deg): 90.00 90.00 120.00
Space group R-3m (No. 166, hexagonal axes)
Asymmetric unit:
Rb: 0.0000 0.0000 0.0000 [3 per cell]
Rb: 0.0000 0.5000 0.0000 [9 per cell]
La: 0.0000 0.5000 0.5000 [9 per cell]
Zr: 0.0000 0.0000 0.5000 [3 per cell]
Te: 0.0000 0.0000 0.2371 [6 per cell]
Te: 0.0211 0.5105 0.2335 [18 per cell]

=====

# 2
A relaxed structure of Sm6TlTe3Ir2. Source: the Alexandria database, functional GGA-PBE.

a b c (Å): 19.526 4.226 9.072
angles (deg): 90.00 108.71 90.00
Space group C2/m (No. 12)
Asymmetric unit:
Sm: 0.011 0.000 0.261 [4 per cell]
Sm: 0.171 0.500 0.110 [4 per cell]
Sm: 0.182 0.500 0.554 [4 per cell]
Tl: 0.000 0.500 0.000 [2 per cell]
Te: 0.000 0.500 0.500 [2 per cell]
Te: 0.162 0.000 0.827 [4 per cell]
Ir: 0.165 0.000 0.323 [4 per cell]

=====

# 3
A relaxed structure of La2Pm4As3N2. Source: the Alexandria database, functional GGA-PBE.

a b c (Å): 4.709 4.709 24.796
angles (deg): 90.00 90.00 90.00
Space group I4/mmm (No. 139)
Asymmetric unit:
La: 0.000 0.000 0.195 [4 per cell]
Pm: 0.000 0.500 0.079 [8 per cell]
As: 0.000 0.000 0.326 [4 per cell]
As: 0.000 0.000 0.500 [2 per cell]
N: 0.000 0.000 0.103 [4 per cell]

=====

These records have uncorrected formation energy values of -1.325, -0.958, -1.292 eV/atom, in the order they appear.